Below is an optimized crystal structure of ScHg7, with properties calculated at the PBEsol level.

The structure in POSCAR format:
```
ScHg7
1.0
6.2931 0.0000 0.0000
3.1466 5.4500 0.0000
3.1466 1.8167 5.1383
Hg Sc
7 1
Cartesian
1.5733 2.7250 0.0000
4.7198 2.7250 0.0000
3.1466 0.0000 0.0000
4.7198 0.9083 2.5692
3.1466 3.6333 2.5692
6.2931 3.6333 2.5692
1.5733 0.9083 2.5692
0.0000 0.0000 0.0000
```

Calculated values
Density of states at the Fermi level, states/eV per cell: 5.3
Calculated volume, Å³/f.u.: 176
ΔE_f, meV/atom: -121
Crystal system: cubic